Record 1
## GaFe2HgPt (PBE)

Data for GaFe2HgPt after structural relaxation.

Electronic total energy = -3.827 eV per atom
Energy of formation = 691 kJ/mol of formula units
Crystal system = tetragonal

abc: 4.8343 4.7016 4.8343
angles: 90.00 90.00 90.00
Last column: nearest neighbours and their distance in Å.
Fractional positions:
Fe 0.0000 0.0000 0.5000  2 Hg 2.42
Fe 0.5000 0.0000 0.0000  2 Hg 2.42
Hg 0.0000 0.0000 0.0000  2 Ga 2.35, 4 Fe 2.42
Pt 0.5000 0.5000 0.5000  8 Fe 3.37, 4 Ga 3.42
Ga 0.0000 0.5000 0.0000  2 Hg 2.35



Record 2
## Ca2AlGa4Ir3 (PBE)

Data for Ca2AlGa4Ir3 after structural relaxation.

Electronic total energy = -5.188 eV per atom
Energy of formation = -525 kJ/mol of formula units
Crystal system = tetragonal

abc: 4.0486 4.0486 11.3738
angles: 90.00 90.00 90.00
Last column: nearest neighbours and their distance in Å.
Fractional positions:
Ir 0.5000 0.0000 0.8647  5 Ga 2.51-2.54
Ir 0.0000 0.0000 0.5000  4 Ga 2.60, 4 Al 2.86
Ir 0.0000 0.5000 0.1353  5 Ga 2.51-2.54
Al 0.5000 0.5000 0.5000  4 Ga 2.60, 4 Ir 2.86
Ca 0.5000 0.0000 0.2400  4 Ir 3.10, 8 Ga 3.15-3.40
Ca 0.0000 0.5000 0.7600  4 Ir 3.10, 8 Ga 3.15-3.40
Ga 0.5000 0.5000 0.0000  4 Ir 2.54
Ga 0.0000 0.5000 0.3561  3 Ir 2.51-2.60, 2 Al 2.60
Ga 0.0000 0.0000 0.0000  4 Ir 2.54
Ga 0.5000 0.0000 0.6439  3 Ir 2.51-2.60, 2 Al 2.60



Record 3
## K2Rb2Pt (PBE)

Data for K2Rb2Pt after structural relaxation.

Electronic total energy = -1.835 eV per atom
Distance to the lowest polymorph of the same formula = 0.19 eV per formula unit
Energy of formation = 96 kJ/mol of formula units
Crystal system = tetragonal

abc: 8.6358 8.6358 7.1974
angles: 90.00 90.00 90.00
Last column: nearest neighbours and their distance in Å.
Fractional positions:
Rb 0.8365 0.6635 0.0000  2 Pt 3.23
Rb 0.1635 0.3365 0.0000  2 Pt 3.23
Rb 0.3365 0.8365 0.0000  2 Pt 3.23
Rb 0.6635 0.1635 0.0000  2 Pt 3.23
Pt 0.0000 0.0000 0.0000  4 Rb 3.23
Pt 0.5000 0.5000 0.0000  4 Rb 3.23
K 0.8070 0.3070 0.5000  2 Rb 4.00, 4 K 4.43
K 0.6930 0.8070 0.5000  2 Rb 4.00, 4 K 4.43
K 0.1930 0.6930 0.5000  2 Rb 4.00, 4 K 4.43
K 0.3070 0.1930 0.5000  2 Rb 4.00, 4 K 4.43



Record 4
## In2FeRh (PBE)

Data for In2FeRh after structural relaxation.

Electronic total energy = -5.127 eV per atom
Energy of formation = 75 kJ/mol of formula units
Crystal system = cubic

abc: 4.6165 4.6165 4.6165
angles: 60.00 60.00 60.00
Last column: nearest neighbours and their distance in Å.
Fractional positions:
Fe 0.5000 0.5000 0.5000  4 In 2.83, 4 Rh 2.83
In 0.0000 0.0000 0.0000  4 Rh 2.83, 4 In 2.83
In 0.2500 0.2500 0.2500  4 In 2.83, 4 Fe 2.83
Rh 0.7500 0.7500 0.7500  4 In 2.83, 4 Fe 2.83



Repeat the first record exactly.
## GaFe2HgPt (PBE)

Data for GaFe2HgPt after structural relaxation.

Electronic total energy = -3.827 eV per atom
Energy of formation = 691 kJ/mol of formula units
Crystal system = tetragonal

abc: 4.8343 4.7016 4.8343
angles: 90.00 90.00 90.00
Last column: nearest neighbours and their distance in Å.
Fractional positions:
Fe 0.0000 0.0000 0.5000  2 Hg 2.42
Fe 0.5000 0.0000 0.0000  2 Hg 2.42
Hg 0.0000 0.0000 0.0000  2 Ga 2.35, 4 Fe 2.42
Pt 0.5000 0.5000 0.5000  8 Fe 3.37, 4 Ga 3.42
Ga 0.0000 0.5000 0.0000  2 Hg 2.35